# Ba2ErThSe6 (PBE, relaxed)
# calculated density = 5.8 Mg/m³
# formation energy without anion corrections = -1753 meV per atom
data_Ba2ErThSe6
_space_group_name_H-M_alt 'P 1'
_space_group_IT_number 1
_space_group_name_Hall 'P 1'
_cell_length_a 7.479
_cell_length_b 8.031
_cell_length_c 13.166
_cell_angle_alpha 90.00
_cell_angle_beta 123.75
_cell_angle_gamma 90.00
loop_
_atom_site_label
_atom_site_type_symbol
_atom_site_fract_x
_atom_site_fract_y
_atom_site_fract_z
Ba1 Ba 0.221 0.079 0.249
Ba2 Ba 0.221 0.421 0.749
Ba3 Ba 0.779 0.579 0.251
Ba4 Ba 0.779 0.921 0.751
Er1 Er 0.000 0.000 0.500
Er2 Er 0.000 0.500 0.000
Th1 Th 0.500 0.000 0.000
Th2 Th 0.500 0.500 0.500
Se1 Se 0.139 0.201 0.951
Se2 Se 0.139 0.299 0.451
Se3 Se 0.254 0.697 0.950
Se4 Se 0.254 0.803 0.450
Se5 Se 0.342 0.022 0.746
Se6 Se 0.342 0.478 0.246
Se7 Se 0.658 0.522 0.754
Se8 Se 0.658 0.978 0.254
Se9 Se 0.746 0.197 0.550
Se10 Se 0.746 0.303 0.050
Se11 Se 0.861 0.701 0.549
Se12 Se 0.861 0.799 0.049